Record 1
{
  "formula": "RbGeTe4",
  "functional": "PBE-GGA",
  "state": "relaxed",
  "cell": [[8.245, 2.651, -4.413], [1.461, 6.388, -4.566], [-2.588, -0.124, 11.362]],
  "species": ["Ge", "Ge", "Te", "Te", "Te", "Te", "Te", "Te", "Te", "Te", "Rb", "Rb"],
  "fractional_positions": [[0.722, 0.972, 0.944], [0.278, 0.028, 0.056], [0.278, 0.611, 0.894], [0.116, 0.282, 0.894], [0.837, 0.743, 0.719], [0.722, 0.389, 0.106], [0.884, 0.718, 0.106], [0.163, 0.257, 0.281], [0.382, 0.976, 0.719], [0.618, 0.024, 0.281], [0.400, 0.650, 0.300], [0.600, 0.350, 0.700]],
  "spacegroup": "C2/c, No. 15",
  "relative_energy_ev_per_atom": 0.0000,
  "rho_g_cm3": 4.36,
  "e_form_raw_ev_per_fu": -1.81
}



Record 2
{
  "formula": "RbGeTe4",
  "functional": "PBE-GGA",
  "state": "relaxed",
  "cell": [[7.469, -0.021, -0.013], [-0.021, 7.383, -0.998], [-3.735, -4.230, 8.716]],
  "species": ["Te", "Te", "Te", "Te", "Te", "Te", "Te", "Te", "Rb", "Rb", "Ge", "Ge"],
  "fractional_positions": [[0.660, 0.424, 0.561], [0.100, 0.080, 0.442], [0.900, 0.920, 0.558], [0.204, 0.573, 0.835], [0.796, 0.427, 0.165], [0.340, 0.576, 0.439], [0.370, 0.930, 0.166], [0.630, 0.070, 0.834], [0.771, 0.751, 0.001], [0.229, 0.249, 0.999], [0.000, 0.500, 0.500], [0.500, 0.000, 0.500]],
  "spacegroup": "P-1, No. 2",
  "relative_energy_ev_per_atom": 0.0824,
  "rho_g_cm3": 4.95,
  "e_form_raw_ev_per_fu": -1.31
}



Record 3
{
  "formula": "RbGe2Te3",
  "functional": "PBE-GGA",
  "state": "relaxed",
  "cell": [[4.058, 0.000, 0.000], [0.000, 8.376, 0.000], [0.000, 0.000, 12.516]],
  "species": ["Te", "Te", "Te", "Te", "Te", "Te", "Ge", "Ge", "Ge", "Ge", "Rb", "Rb"],
  "fractional_positions": [[0.000, 0.730, 0.597], [0.500, 0.629, 0.892], [0.500, 0.269, 0.686], [0.500, 0.129, 0.108], [0.000, 0.230, 0.403], [0.500, 0.769, 0.314], [0.500, 0.067, 0.510], [0.000, 0.005, 0.241], [0.500, 0.567, 0.490], [0.000, 0.505, 0.759], [0.000, 0.503, 0.134], [0.000, 0.003, 0.866]],
  "spacegroup": "Pmc2_1, No. 26",
  "relative_energy_ev_per_atom": 0.0122,
  "rho_g_cm3": 4.79,
  "e_form_raw_ev_per_fu": -1.81
}



Record 4
{
  "formula": "Rb2GeTe3",
  "functional": "PBE-GGA",
  "state": "relaxed",
  "cell": [[-1.344, -7.616, 0.901], [6.111, 3.514, 5.183], [-12.298, 3.597, 12.063]],
  "species": ["Rb", "Rb", "Rb", "Rb", "Rb", "Rb", "Rb", "Rb", "Te", "Te", "Te", "Te", "Te", "Te", "Te", "Te", "Te", "Te", "Te", "Te", "Ge", "Ge", "Ge", "Ge"],
  "fractional_positions": [[0.854, 0.708, 0.562], [0.558, 0.116, 0.649], [0.442, 0.884, 0.351], [0.646, 0.292, 0.062], [0.146, 0.292, 0.438], [0.354, 0.708, 0.938], [0.942, 0.884, 0.149], [0.058, 0.116, 0.851], [0.151, 0.302, 0.050], [0.912, 0.824, 0.353], [0.412, 0.824, 0.147], [0.588, 0.176, 0.853], [0.928, 0.355, 0.250], [0.849, 0.698, 0.950], [0.349, 0.698, 0.550], [0.088, 0.176, 0.647], [0.572, 0.645, 0.750], [0.072, 0.645, 0.750], [0.651, 0.302, 0.450], [0.428, 0.355, 0.250], [0.249, 0.498, 0.667], [0.251, 0.502, 0.167], [0.751, 0.502, 0.333], [0.749, 0.498, 0.833]],
  "spacegroup": "Cmce, No. 64",
  "rho_g_cm3": 3.88,
  "e_form_raw_ev_per_fu": -3.76
}



Record 5
{
  "formula": "Rb2GeTe3",
  "functional": "PBE-GGA",
  "state": "relaxed",
  "cell": [[7.961, 0.183, 0.131], [1.143, 8.335, 0.220], [1.143, 2.931, 7.806]],
  "species": ["Rb", "Rb", "Rb", "Rb", "Te", "Te", "Te", "Te", "Te", "Te", "Ge", "Ge"],
  "fractional_positions": [[0.672, 0.178, 0.504], [0.328, 0.822, 0.496], [0.828, 0.496, 0.822], [0.172, 0.504, 0.178], [0.023, 0.083, 0.178], [0.750, 0.641, 0.359], [0.977, 0.917, 0.822], [0.250, 0.359, 0.641], [0.477, 0.822, 0.917], [0.523, 0.178, 0.083], [0.250, 0.083, 0.917], [0.750, 0.917, 0.083]],
  "spacegroup": "C2/c, No. 15",
  "rho_g_cm3": 4.08,
  "e_form_raw_ev_per_fu": -3.35
}



Record 6
{
  "formula": "RbGe3Te",
  "functional": "PBE-GGA",
  "state": "relaxed",
  "cell": [[5.696, 0.000, 0.000], [0.000, 5.696, 0.000], [0.000, 0.000, 5.696]],
  "species": ["Ge", "Ge", "Ge", "Te", "Rb"],
  "fractional_positions": [[0.000, 0.500, 0.000], [0.500, 0.000, 0.000], [0.000, 0.000, 0.500], [0.500, 0.500, 0.500], [0.000, 0.000, 0.000]],
  "spacegroup": "Pm-3m, No. 221",
  "relative_energy_ev_per_atom": 1.0903,
  "rho_g_cm3": 3.87,
  "e_form_raw_ev_per_fu": 8.26
}



Record 7
{
  "formula": "Rb2GeTe5",
  "functional": "PBE-GGA",
  "state": "relaxed",
  "cell": [[-3.477, 1.380, 5.771], [3.175, -5.225, 3.162], [5.249, 6.251, -2.431]],
  "species": ["Te", "Te", "Te", "Te", "Te", "Rb", "Rb", "Ge"],
  "fractional_positions": [[0.280, 0.746, 0.026], [0.746, 0.746, 0.026], [0.280, 0.280, 0.026], [0.750, 0.749, 0.499], [0.746, 0.280, 0.026], [0.272, 0.772, 0.544], [0.770, 0.270, 0.540], [0.933, 0.933, 0.866]],
  "spacegroup": "Imm2, No. 44",
  "rho_g_cm3": 4.42,
  "e_form_raw_ev_per_fu": -2.81
}



Record 8
{
  "formula": "RbGe2Te2",
  "functional": "PBE-GGA",
  "state": "relaxed",
  "cell": [[-3.196, -4.682, 6.917], [8.239, -0.550, 3.434], [-0.610, 3.379, 2.005]],
  "species": ["Te", "Te", "Te", "Te", "Ge", "Ge", "Ge", "Ge", "Rb", "Rb"],
  "fractional_positions": [[0.659, 0.841, 0.500], [0.841, 0.341, 0.500], [0.341, 0.159, 0.500], [0.159, 0.659, 0.500], [0.400, 0.900, 0.000], [0.100, 0.400, 0.000], [0.900, 0.600, 0.000], [0.600, 0.100, 0.000], [0.000, 0.000, 0.000], [0.500, 0.500, 0.000]],
  "spacegroup": "P4/mbm, No. 127",
  "relative_energy_ev_per_atom": 0.1689,
  "rho_g_cm3": 5.07,
  "e_form_raw_ev_per_fu": -0.71
}



Record 9
{
  "formula": "Rb3Ge2Te4",
  "functional": "PBE-GGA",
  "state": "relaxed",
  "cell": [[-7.870, -3.488, 0.868], [3.045, -4.861, 8.074], [-4.125, 9.361, 1.117]],
  "species": ["Rb", "Rb", "Rb", "Rb", "Rb", "Rb", "Te", "Te", "Te", "Te", "Te", "Te", "Te", "Te", "Ge", "Ge", "Ge", "Ge"],
  "fractional_positions": [[0.586, 0.000, 0.746], [0.414, 0.000, 0.254], [0.250, 0.496, 0.000], [0.914, 0.254, 0.254], [0.750, 0.504, 0.000], [0.086, 0.746, 0.746], [0.305, 0.769, 0.442], [0.503, 0.707, 0.862], [0.695, 0.231, 0.558], [0.805, 0.673, 0.442], [0.997, 0.845, 0.138], [0.195, 0.327, 0.558], [0.497, 0.293, 0.138], [0.003, 0.155, 0.862], [0.489, 0.460, 0.607], [0.011, 0.854, 0.393], [0.511, 0.540, 0.393], [0.989, 0.146, 0.607]],
  "spacegroup": "C2/c, No. 15",
  "relative_energy_ev_per_atom": 0.0000,
  "rho_g_cm3": 3.92,
  "e_form_raw_ev_per_fu": -5.43
}



Record 10
{
  "formula": "RbGe2Te",
  "functional": "PBE-GGA",
  "state": "relaxed",
  "cell": [[8.726, 0.000, 0.000], [0.000, 8.726, 0.000], [4.363, 4.363, 3.414]],
  "species": ["Ge", "Ge", "Ge", "Ge", "Te", "Te", "Rb", "Rb"],
  "fractional_positions": [[0.682, 0.125, 0.250], [0.068, 0.625, 0.250], [0.375, 0.318, 0.750], [0.875, 0.932, 0.750], [0.750, 0.250, 0.500], [0.000, 0.000, 0.000], [0.250, 0.750, 0.500], [0.500, 0.500, 0.000]],
  "spacegroup": "I-42d, No. 122",
  "rho_g_cm3": 4.58,
  "e_form_raw_ev_per_fu": 0.69
}



Record 11
{
  "formula": "RbGe2Te3",
  "functional": "PBE-GGA",
  "state": "relaxed",
  "cell": [[-1.718, 4.780, -1.725], [-3.559, -2.536, -3.482], [-10.341, 0.078, 10.514]],
  "species": ["Rb", "Rb", "Te", "Te", "Te", "Te", "Te", "Te", "Ge", "Ge", "Ge", "Ge"],
  "fractional_positions": [[0.750, 0.500, 0.500], [0.250, 0.000, 0.000], [0.750, 0.000, 0.244], [0.750, 0.000, 0.756], [0.750, 0.500, 0.000], [0.250, 0.500, 0.256], [0.250, 0.000, 0.500], [0.250, 0.500, 0.744], [0.750, 0.500, 0.814], [0.750, 0.500, 0.186], [0.250, 0.000, 0.314], [0.250, 0.000, 0.686]],
  "spacegroup": "Immm, No. 71",
  "relative_energy_ev_per_atom": 0.0000,
  "rho_g_cm3": 4.61,
  "e_form_raw_ev_per_fu": -1.88
}



Record 12
{
  "formula": "RbGe3Te",
  "functional": "PBE-GGA",
  "state": "relaxed",
  "cell": [[5.636, 0.000, 0.000], [0.000, 5.636, 0.000], [0.000, 0.000, 5.636]],
  "species": ["Ge", "Ge", "Ge", "Te", "Rb"],
  "fractional_positions": [[0.000, 0.000, 0.500], [0.000, 0.500, 0.000], [0.500, 0.000, 0.000], [0.000, 0.000, 0.000], [0.500, 0.500, 0.500]],
  "spacegroup": "Pm-3m, No. 221",
  "relative_energy_ev_per_atom": 0.0000,
  "rho_g_cm3": 4.00,
  "e_form_raw_ev_per_fu": 2.81
}



Record 13
{
  "formula": "Rb2Ge2Te3",
  "functional": "PBE-GGA",
  "state": "relaxed",
  "cell": [[-5.551, -0.159, -1.824], [-1.993, -3.501, 6.370], [2.215, 7.312, 1.987]],
  "species": ["Ge", "Ge", "Rb", "Rb", "Te", "Te", "Te"],
  "fractional_positions": [[0.836, 0.612, 0.673], [0.164, 0.388, 0.327], [0.385, 0.230, 0.770], [0.615, 0.770, 0.230], [0.000, 0.500, 0.000], [0.317, 0.707, 0.634], [0.683, 0.293, 0.366]],
  "spacegroup": "C2/m, No. 12",
  "relative_energy_ev_per_atom": 0.0000,
  "rho_g_cm3": 3.78,
  "e_form_raw_ev_per_fu": -3.40
}



Record 14
{
  "formula": "RbGe6Te8",
  "functional": "PBE-GGA",
  "state": "relaxed",
  "cell": [[-1.764, -6.429, -4.496], [2.829, -5.151, 5.489], [-7.205, -0.965, 3.438]],
  "species": ["Ge", "Ge", "Ge", "Ge", "Ge", "Ge", "Te", "Te", "Te", "Te", "Te", "Te", "Te", "Te", "Rb"],
  "fractional_positions": [[0.619, 0.421, 0.819], [0.421, 0.819, 0.619], [0.181, 0.381, 0.579], [0.381, 0.579, 0.181], [0.579, 0.181, 0.381], [0.819, 0.619, 0.421], [0.869, 0.262, 0.600], [0.265, 0.265, 0.265], [0.400, 0.131, 0.738], [0.738, 0.400, 0.131], [0.600, 0.869, 0.262], [0.735, 0.735, 0.735], [0.131, 0.738, 0.400], [0.262, 0.600, 0.869], [0.000, 0.000, 0.000]],
  "spacegroup": "R-3, No. 148",
  "rho_g_cm3": 4.95,
  "e_form_raw_ev_per_fu": -1.40
}



Record 15
{
  "formula": "Rb2ThGeTe4",
  "functional": "PBE-GGA",
  "state": "relaxed",
  "cell": [[4.610, 0.000, 0.000], [0.000, 8.837, -0.510], [0.000, 2.773, 7.430]],
  "species": ["Rb", "Rb", "Ge", "Te", "Te", "Te", "Te", "Th"],
  "fractional_positions": [[0.500, 0.000, 0.500], [0.000, 0.000, 0.000], [0.500, 0.500, 0.000], [0.000, 0.308, 0.228], [0.500, 0.302, 0.739], [0.000, 0.692, 0.772], [0.500, 0.698, 0.261], [0.000, 0.500, 0.500]],
  "spacegroup": "P2/m, No. 10",
  "rho_g_cm3": 5.30,
  "e_form_raw_ev_per_fu": -7.35
}



Record 16
{
  "formula": "Rb2TlGe2Te4",
  "functional": "PBE-GGA",
  "state": "relaxed",
  "cell": [[-1.772, 4.892, 1.408], [0.333, -5.078, 7.747], [7.300, 3.018, -1.296]],
  "species": ["Rb", "Rb", "Tl", "Te", "Te", "Te", "Te", "Ge", "Ge"],
  "fractional_positions": [[0.131, 0.262, 0.559], [0.869, 0.738, 0.441], [0.000, 0.000, 0.000], [0.460, 0.920, 0.256], [0.208, 0.415, 0.157], [0.792, 0.585, 0.843], [0.540, 0.080, 0.744], [0.677, 0.354, 0.010], [0.323, 0.646, 0.990]],
  "spacegroup": "C2/m, No. 12",
  "rho_g_cm3": 4.73,
  "e_form_raw_ev_per_fu": -4.01
}



Record 17
{
  "formula": "Rb2TlGeTe4",
  "functional": "PBE-GGA",
  "state": "relaxed",
  "cell": [[6.938, 0.000, 0.000], [3.469, 7.743, 0.000], [3.469, 0.000, 12.878]],
  "species": ["Ge", "Ge", "Tl", "Tl", "Te", "Te", "Te", "Te", "Te", "Te", "Te", "Te", "Rb", "Rb", "Rb", "Rb"],
  "fractional_positions": [[0.500, 0.000, 0.000], [0.250, 0.500, 0.500], [0.750, 0.500, 0.500], [0.000, 0.000, 0.000], [0.435, 0.706, 0.377], [0.233, 0.206, 0.877], [0.189, 0.294, 0.377], [0.315, 0.794, 0.123], [0.561, 0.206, 0.123], [0.517, 0.294, 0.623], [0.859, 0.706, 0.623], [0.891, 0.794, 0.877], [0.815, 0.000, 0.370], [0.565, 0.500, 0.870], [0.185, 0.000, 0.630], [0.935, 0.500, 0.130]],
  "spacegroup": "Fddd, No. 70",
  "rho_g_cm3": 4.60,
  "e_form_raw_ev_per_fu": -3.58
}



Record 18
{
  "formula": "Rb2TmGeTe4",
  "functional": "PBE-GGA",
  "state": "relaxed",
  "cell": [[-2.470, 8.963, -1.415], [-7.310, -2.824, -5.199], [0.671, -2.989, 8.452]],
  "species": ["Te", "Te", "Te", "Te", "Te", "Te", "Te", "Te", "Rb", "Rb", "Rb", "Rb", "Tm", "Tm", "Ge", "Ge"],
  "fractional_positions": [[0.229, 0.271, 0.457], [0.768, 0.305, 0.536], [0.229, 0.271, 0.043], [0.195, 0.732, 0.964], [0.232, 0.695, 0.464], [0.805, 0.268, 0.036], [0.771, 0.729, 0.543], [0.771, 0.729, 0.957], [0.500, 0.500, 0.000], [0.500, 0.000, 0.500], [0.500, 0.000, 0.000], [0.000, 0.000, 0.500], [0.000, 0.500, 0.000], [0.000, 0.500, 0.500], [0.500, 0.500, 0.500], [0.000, 0.000, 0.000]],
  "spacegroup": "Imma, No. 74",
  "rho_g_cm3": 5.23,
  "e_form_raw_ev_per_fu": -6.30
}



Record 19
{
  "formula": "Rb2UGeTe5",
  "functional": "PBE-GGA",
  "state": "relaxed",
  "cell": [[4.651, 0.000, 0.000], [-2.326, 10.647, 0.000], [0.000, 0.000, 15.289]],
  "species": ["Te", "Te", "Te", "Te", "Te", "Te", "Te", "Te", "Te", "Te", "Ge", "Ge", "Rb", "Rb", "Rb", "Rb", "U", "U"],
  "fractional_positions": [[0.689, 0.377, 0.155], [0.491, 0.983, 0.274], [0.509, 0.017, 0.774], [0.311, 0.623, 0.655], [0.951, 0.902, 0.519], [0.329, 0.657, 0.009], [0.690, 0.379, 0.893], [0.049, 0.098, 0.019], [0.310, 0.621, 0.393], [0.671, 0.343, 0.509], [0.563, 0.126, 0.922], [0.437, 0.874, 0.422], [0.870, 0.740, 0.190], [0.882, 0.764, 0.833], [0.118, 0.236, 0.333], [0.130, 0.260, 0.690], [0.804, 0.608, 0.529], [0.196, 0.392, 0.029]],
  "spacegroup": "Cmc2_1, No. 36",
  "rho_g_cm3": 4.91,
  "e_form_raw_ev_per_fu": -5.51
}



Record 20
{
  "formula": "Rb2UGe2Te6",
  "functional": "PBE-GGA",
  "state": "relaxed",
  "cell": [[8.265, 0.000, 0.000], [-4.133, 6.980, -0.342], [0.000, -4.380, 7.832]],
  "species": ["Rb", "Rb", "Te", "Te", "Te", "Te", "Te", "Te", "Ge", "Ge", "U"],
  "fractional_positions": [[0.712, 0.424, 0.208], [0.288, 0.576, 0.792], [0.806, 0.124, 0.792], [0.317, 0.124, 0.792], [0.683, 0.876, 0.208], [0.257, 0.514, 0.363], [0.194, 0.876, 0.208], [0.743, 0.486, 0.637], [0.967, 0.934, 0.836], [0.033, 0.066, 0.164], [0.500, 0.000, 0.500]],
  "spacegroup": "C2/m, No. 12",
  "rho_g_cm3": 4.99,
  "e_form_raw_ev_per_fu": -5.06
}